Entry 1:
DFT (PBE-GGA) results for a geometry-optimized ThZr2Ti structure.

The space group is R3m (No. 160, hexagonal axes) and the conventional cell measures 3.2351, 3.2351 and 31.6911 Å, with angles of 90.00, 90.00 and 120.00 degrees. The inequivalent atoms are Th at (0.0000, 0.0000, 0.0000), Zr at (0.0000, 0.0000, 0.5751), Zr at (0.0000, 0.0000, 0.7583) and Ti at (0.0000, 0.0000, 0.1671).

The density of states at the Fermi level is 6.62 states/eV/f.u. Its total DFT energy (no corrections) is -7.931 eV per atom. The value obtained for the energy of formation from the pure elements is 0.69 eV per formula unit.

Entry 2:
DFT (PBE-GGA) results for a geometry-optimized Tl2SnAu structure.

The space group is R3m (No. 160, hexagonal axes) and the conventional cell measures 3.6502, 3.6502 and 28.3281 Å, with angles of 90.00, 90.00 and 120.00 degrees. The inequivalent atoms are Tl at (0.0000, 0.0000, 0.0000), Tl at (0.0000, 0.0000, 0.1851), Sn at (0.0000, 0.0000, 0.4264) and Au at (0.0000, 0.0000, 0.5927).

The density of states at the Fermi level is 2.03 states/eV/f.u. Its total DFT energy (no corrections) is -2.932 eV per atom. The value obtained for the energy of formation from the pure elements is 0.28 eV per formula unit.

Entry 3:
DFT (PBE-GGA) results for a geometry-optimized Li2SiCl structure.

The space group is Cm (No. 8) and the conventional cell measures 15.305, 3.010 and 3.038 Å, with angles of 90.00, 101.41 and 90.00 degrees. The inequivalent atoms are Li at (0.000, 0.000, 0.000), Li at (0.209, 0.000, 0.710), Si at (0.374, 0.000, 0.374) and Cl at (0.129, 0.500, 0.131).

The density of states at the Fermi level is 0.98 states/eV/f.u. Its total DFT energy (no corrections) is -3.419 eV per atom. For the formation energy from raw total energies, the calculation gives -645 meV/atom.

Entry 4:
DFT (PBE-GGA) results for a geometry-optimized YMn3Cu structure.

The space group is Pm-3m (No. 221) and the conventional cell measures 4.868, 4.868 and 4.868 Å, with angles of 90.00, 90.00 and 90.00 degrees. The inequivalent atoms are Y at (0.000, 0.000, 0.000), Mn at (0.000, 0.000, 0.500) and Cu at (0.500, 0.500, 0.500).

The density of states at the Fermi level is 4.20 states/eV/f.u. Its total DFT energy (no corrections) is -5.791 eV per atom. The value obtained for the energy of formation from the pure elements is 9.11 eV per formula unit.

Entry 5:
DFT (PBE-GGA) results for a geometry-optimized SrFeOs structure.

The space group is P2_1/m (No. 11) and the conventional cell measures 4.990, 4.278 and 6.094 Å, with angles of 90.00, 95.19 and 90.00 degrees. The inequivalent atoms are Sr at (0.241, 0.250, 0.400), Fe at (0.374, 0.750, 0.995) and Os at (0.118, 0.250, 0.926).

The density of states at the Fermi level is 2.35 states/eV/f.u. Its total DFT energy (no corrections) is -6.789 eV per atom. The value obtained for the energy of formation from the pure elements is 1.01 eV per formula unit.

Entry 6:
DFT (PBE-GGA) results for a geometry-optimized PrY2Rh structure.

The space group is Pnma (No. 62) and the conventional cell measures 7.257, 9.599 and 6.500 Å, with angles of 90.00, 90.00 and 90.00 degrees. The inequivalent atoms are Pr at (0.036, 0.250, 0.139), Y at (0.175, 0.066, 0.671) and Rh at (0.118, 0.750, 0.434).

The density of states at the Fermi level is 4.73 states/eV/f.u. Its total DFT energy (no corrections) is -6.742 eV per atom. The value obtained for the energy of formation from the pure elements is -1.91 eV per formula unit.